The following is a DFT calculation (PBE) of a geometry-optimized EuUCo4 structure.

DOS at the Fermi energy: 9.7 states/eV/cell
DFT formation energy: 0.01 eV/atom
Raw total energy: -8.3222 eV/atom

a b c (Å): 4.997 4.997 4.997
angles (deg): 60.00 60.00 60.00
Element x y z (fractional)
Co1 0.624 0.624 0.128
Eu1 0.000 0.000 0.000
Co2 0.128 0.624 0.624
Co3 0.624 0.128 0.624
U1 0.250 0.250 0.250
Co4 0.624 0.624 0.624